Entry 1:
## CdIn3B (GGA-PBE)

Data for a relaxed structure of CdIn3B.

Cell: 4.8987 4.8987 4.8987 Å, 90.00 90.00 90.00°
With the nearest neighbours (Å) after each atom.
Atoms (fractional coordinates):
In1 0.5000 0.0000 0.0000  2 B 2.45
In2 0.0000 0.5000 0.0000  2 B 2.45
In3 0.0000 0.0000 0.5000  2 B 2.45
B1 0.0000 0.0000 0.0000  6 In 2.45
Cd1 0.5000 0.5000 0.5000  12 In 3.46

calculated total energy: -13.385 eV per cell
relative energy among the computed polymorphs: 0 meV/atom
energy relative to the elements: 485 meV per atom

Entry 2:
## CdIn3B (GGA-PBE)

Data for a relaxed structure of CdIn3B.

Cell: 5.4774 5.4774 5.4774 Å, 90.00 90.00 90.00°
With the nearest neighbours (Å) after each atom.
Atoms (fractional coordinates):
In1 0.0000 0.5000 0.0000  2 Cd 2.74
In2 0.5000 0.0000 0.0000  2 Cd 2.74
In3 0.0000 0.0000 0.5000  2 Cd 2.74
Cd1 0.0000 0.0000 0.0000  6 In 2.74
B1 0.5000 0.5000 0.5000  12 In 3.87

calculated total energy: -9.216 eV per cell
relative energy among the computed polymorphs: 834 meV/atom
energy relative to the elements: 1318 meV per atom

Entry 3:
## CdIn2B (GGA-PBE)

Data for a relaxed structure of CdIn2B.

Cell: 4.9314 4.9314 4.9314 Å, 60.00 60.00 60.00°
With the nearest neighbours (Å) after each atom.
Atoms (fractional coordinates):
B1 0.0000 0.0000 0.0000  8 In 3.02
In1 0.7500 0.7500 0.7500  4 Cd 3.02, 4 B 3.02
In2 0.2500 0.2500 0.2500  4 Cd 3.02, 4 B 3.02
Cd1 0.5000 0.5000 0.5000  8 In 3.02

calculated total energy: -9.534 eV per cell
relative energy among the computed polymorphs: 301 meV/atom
energy relative to the elements: 884 meV per atom

Entry 4:
## CdIn2B (GGA-PBE)

Data for a relaxed structure of CdIn2B.

Cell: 6.3762 6.3762 6.8893 Å, 62.43 62.43 90.00°
With the nearest neighbours (Å) after each atom.
Atoms (fractional coordinates):
In1 0.5125 0.1250 0.2500  2 B 2.24
In2 0.3750 0.4875 0.7500  2 B 2.24
In3 0.8750 0.7625 0.7500  2 B 2.24
In4 0.2375 0.6250 0.2500  2 B 2.24
B1 0.5000 0.5000 0.0000  4 In 2.24
B2 0.2500 0.7500 0.5000  4 In 2.24
Cd1 0.7500 0.2500 0.5000  4 In 3.10
Cd2 0.0000 0.0000 0.0000  4 In 3.10

calculated total energy: -21.474 eV per cell
relative energy among the computed polymorphs: 0 meV/atom
energy relative to the elements: 583 meV per atom

Entry 5:
## Li2CdInB (GGA-PBE)

Data for a relaxed structure of Li2CdInB.

Cell: 5.1350 5.2357 5.1350 Å, 90.00 90.00 90.00°
With the nearest neighbours (Å) after each atom.
Atoms (fractional coordinates):
Li1 0.5000 0.0000 0.0000  2 In 2.57
Li2 0.0000 0.0000 0.5000  2 In 2.57
B1 0.5000 0.5000 0.5000  4 Cd 3.63, 8 Li 3.67
Cd1 0.0000 0.5000 0.0000  2 In 2.62
In1 0.0000 0.0000 0.0000  4 Li 2.57, 2 Cd 2.62

calculated total energy: -8.416 eV per cell
energy relative to the elements: 1148 meV per atom

Entry 6:
## CdInB2N (GGA-PBE)

Data for a relaxed structure of CdInB2N.

Cell: 4.5842 4.2565 4.5842 Å, 90.00 90.00 90.00°
With the nearest neighbours (Å) after each atom.
Atoms (fractional coordinates):
In1 0.0000 0.0000 0.0000  2 N 2.13, 4 B 2.29
N1 0.0000 0.5000 0.0000  2 In 2.13
B1 0.0000 0.0000 0.5000  2 In 2.29
B2 0.5000 0.0000 0.0000  2 In 2.29
Cd1 0.5000 0.5000 0.5000  8 B 3.13, 4 N 3.24

calculated total energy: -14.967 eV per cell
raw formation energy: 2.073 eV per atom

Entry 7:
## NaCdInB2 (GGA-PBE)

Data for a relaxed structure of NaCdInB2.

Cell: 4.5430 5.6920 4.5430 Å, 90.00 90.00 90.00°
With the nearest neighbours (Å) after each atom.
Atoms (fractional coordinates):
B1 0.5000 0.0000 0.0000  2 In 2.27
B2 0.0000 0.0000 0.5000  2 In 2.27
Na1 0.5000 0.5000 0.5000  4 Cd 3.21
In1 0.0000 0.0000 0.0000  4 B 2.27
Cd1 0.0000 0.5000 0.0000  2 In 2.85

calculated total energy: -11.253 eV per cell
energy relative to the elements: 1415 meV per atom

Entry 8:
## Na2CdInB (GGA-PBE)

Data for a relaxed structure of Na2CdInB.

Cell: 6.0119 4.1460 6.0119 Å, 90.00 90.00 90.00°
With the nearest neighbours (Å) after each atom.
Atoms (fractional coordinates):
B1 0.0000 0.5000 0.0000  2 In 2.07
Na1 0.0000 0.0000 0.5000  2 In 3.01
Na2 0.5000 0.0000 0.0000  2 In 3.01
Cd1 0.5000 0.5000 0.5000  8 Na 3.65
In1 0.0000 0.0000 0.0000  2 B 2.07

calculated total energy: -10.022 eV per cell
energy relative to the elements: 589 meV per atom

Entry 9:
## Cd2InB2O6 (GGA-PBE)

Data for a relaxed structure of Cd2InB2O6.

Cell: 5.1096 5.1096 6.7981 Å, 90.00 90.00 120.00°
With the nearest neighbours (Å) after each atom.
Atoms (fractional coordinates):
O1 0.3783 0.2959 0.8073  1 B 1.39
O2 0.7041 0.0824 0.8073  1 B 1.39
O3 0.6217 0.7041 0.1927  1 B 1.39
O4 0.0824 0.3783 0.1927  1 B 1.39
O5 0.9176 0.6217 0.8073  1 B 1.39
O6 0.2959 0.9176 0.1927  1 B 1.39
B1 0.3333 0.6667 0.1886  3 O 1.39
B2 0.6667 0.3333 0.8114  3 O 1.39
In1 0.0000 0.0000 0.0000  6 O 2.19
Cd1 0.6667 0.3333 0.3358  3 O 2.24
Cd2 0.3333 0.6667 0.6642  3 O 2.24

calculated total energy: -66.042 eV per cell
raw formation energy: -1.670 eV per atom

Entry 10:
## CdInB2Pd (GGA-PBE)

Data for a relaxed structure of CdInB2Pd.

Cell: 4.3795 5.2310 4.3795 Å, 90.00 90.00 90.00°
With the nearest neighbours (Å) after each atom.
Atoms (fractional coordinates):
B1 0.5000 0.0000 0.0000  2 In 2.19
B2 0.0000 0.0000 0.5000  2 In 2.19
In1 0.0000 0.0000 0.0000  4 B 2.19
Pd1 0.0000 0.5000 0.0000  2 In 2.62
Cd1 0.5000 0.5000 0.5000  4 Pd 3.10, 8 B 3.41

calculated total energy: -14.849 eV per cell
energy relative to the elements: 1471 meV per atom

Entry 11:
## Cd2InB2Rh5 (GGA-PBE)

Data for a relaxed structure of Cd2InB2Rh5.

Cell: 2.9561 9.8423 9.8423 Å, 90.00 90.00 90.00°
With the nearest neighbours (Å) after each atom.
Atoms (fractional coordinates):
Rh1 0.5000 0.4312 0.2725  2 B 2.15
Rh2 0.5000 0.0688 0.7725  2 B 2.15
Rh3 0.5000 0.7725 0.9312  2 B 2.15
Rh4 0.5000 0.5000 0.0000  4 B 2.26
Rh5 0.5000 0.9312 0.2275  2 B 2.15
Rh6 0.5000 0.0000 0.5000  4 B 2.26
Rh7 0.5000 0.2275 0.0688  2 B 2.15
Rh8 0.5000 0.2725 0.5688  2 B 2.15
Rh9 0.5000 0.5688 0.7275  2 B 2.15
Rh10 0.5000 0.7275 0.4312  2 B 2.15
In1 0.0000 0.0000 0.0000  8 Rh 2.77, 2 In 2.96
In2 0.0000 0.5000 0.5000  8 Rh 2.77, 2 In 2.96
B1 0.0000 0.1227 0.6227  6 Rh 2.15-2.26
B2 0.0000 0.8773 0.3773  6 Rh 2.15-2.26
B3 0.0000 0.6227 0.8773  6 Rh 2.15-2.26
B4 0.0000 0.3773 0.1227  6 Rh 2.15-2.26
Cd1 0.0000 0.3214 0.8214  3 B 2.77-3.02, 10 Rh 2.89-2.99, 2 Cd 2.96
Cd2 0.0000 0.6786 0.1786  3 B 2.77-3.02, 10 Rh 2.89-2.99, 2 Cd 2.96
Cd3 0.0000 0.8214 0.6786  3 B 2.77-3.02, 10 Rh 2.89-2.99, 2 Cd 2.96
Cd4 0.0000 0.1786 0.3214  3 B 2.77-3.02, 10 Rh 2.89-2.99, 2 Cd 2.96

calculated total energy: -116.331 eV per cell
energy relative to the elements: -348 meV per atom

Entry 12:
## CdIn2B2Rh5 (GGA-PBE)

Data for a relaxed structure of CdIn2B2Rh5.

Cell: 2.9798 9.8234 9.8234 Å, 90.00 90.00 90.00°
With the nearest neighbours (Å) after each atom.
Atoms (fractional coordinates):
In1 0.0000 0.3208 0.8208  3 B 2.75-3.02, 10 Rh 2.90-3.00, 2 In 2.98
In2 0.0000 0.6792 0.1792  3 B 2.75-3.02, 10 Rh 2.90-3.00, 2 In 2.98
In3 0.0000 0.8208 0.6792  3 B 2.75-3.02, 10 Rh 2.90-3.00, 2 In 2.98
In4 0.0000 0.1792 0.3208  3 B 2.75-3.02, 10 Rh 2.90-3.00, 2 In 2.98
Rh1 0.5000 0.5000 0.0000  4 B 2.27
Rh2 0.5000 0.2285 0.0689  2 B 2.15
Rh3 0.5000 0.9311 0.2285  2 B 2.15
Rh4 0.5000 0.0689 0.7715  2 B 2.15
Rh5 0.5000 0.5689 0.7285  2 B 2.15
Rh6 0.5000 0.0000 0.5000  4 B 2.27
Rh7 0.5000 0.4311 0.2715  2 B 2.15
Rh8 0.5000 0.2715 0.5689  2 B 2.15
Rh9 0.5000 0.7285 0.4311  2 B 2.15
Rh10 0.5000 0.7715 0.9311  2 B 2.15
Cd1 0.0000 0.0000 0.0000  8 Rh 2.78, 2 Cd 2.98
Cd2 0.0000 0.5000 0.5000  8 Rh 2.78, 2 Cd 2.98
B1 0.0000 0.8770 0.3770  6 Rh 2.15-2.27
B2 0.0000 0.3770 0.1230  6 Rh 2.15-2.27
B3 0.0000 0.6230 0.8770  6 Rh 2.15-2.27
B4 0.0000 0.1230 0.6230  6 Rh 2.15-2.27

calculated total energy: -119.588 eV per cell
energy relative to the elements: -329 meV per atom

Copy entry 12 word for word.
## CdIn2B2Rh5 (GGA-PBE)

Data for a relaxed structure of CdIn2B2Rh5.

Cell: 2.9798 9.8234 9.8234 Å, 90.00 90.00 90.00°
With the nearest neighbours (Å) after each atom.
Atoms (fractional coordinates):
In1 0.0000 0.3208 0.8208  3 B 2.75-3.02, 10 Rh 2.90-3.00, 2 In 2.98
In2 0.0000 0.6792 0.1792  3 B 2.75-3.02, 10 Rh 2.90-3.00, 2 In 2.98
In3 0.0000 0.8208 0.6792  3 B 2.75-3.02, 10 Rh 2.90-3.00, 2 In 2.98
In4 0.0000 0.1792 0.3208  3 B 2.75-3.02, 10 Rh 2.90-3.00, 2 In 2.98
Rh1 0.5000 0.5000 0.0000  4 B 2.27
Rh2 0.5000 0.2285 0.0689  2 B 2.15
Rh3 0.5000 0.9311 0.2285  2 B 2.15
Rh4 0.5000 0.0689 0.7715  2 B 2.15
Rh5 0.5000 0.5689 0.7285  2 B 2.15
Rh6 0.5000 0.0000 0.5000  4 B 2.27
Rh7 0.5000 0.4311 0.2715  2 B 2.15
Rh8 0.5000 0.2715 0.5689  2 B 2.15
Rh9 0.5000 0.7285 0.4311  2 B 2.15
Rh10 0.5000 0.7715 0.9311  2 B 2.15
Cd1 0.0000 0.0000 0.0000  8 Rh 2.78, 2 Cd 2.98
Cd2 0.0000 0.5000 0.5000  8 Rh 2.78, 2 Cd 2.98
B1 0.0000 0.8770 0.3770  6 Rh 2.15-2.27
B2 0.0000 0.3770 0.1230  6 Rh 2.15-2.27
B3 0.0000 0.6230 0.8770  6 Rh 2.15-2.27
B4 0.0000 0.1230 0.6230  6 Rh 2.15-2.27

calculated total energy: -119.588 eV per cell
energy relative to the elements: -329 meV per atom

> Among the records above, which one has the lowest calculated total energy?

CdIn2B2Rh5

Repeat the sixth record exactly.
## CdInB2N (GGA-PBE)

Data for a relaxed structure of CdInB2N.

Cell: 4.5842 4.2565 4.5842 Å, 90.00 90.00 90.00°
With the nearest neighbours (Å) after each atom.
Atoms (fractional coordinates):
In1 0.0000 0.0000 0.0000  2 N 2.13, 4 B 2.29
N1 0.0000 0.5000 0.0000  2 In 2.13
B1 0.0000 0.0000 0.5000  2 In 2.29
B2 0.5000 0.0000 0.0000  2 In 2.29
Cd1 0.5000 0.5000 0.5000  8 B 3.13, 4 N 3.24

calculated total energy: -14.967 eV per cell
raw formation energy: 2.073 eV per atom